Record 1
The following is a PBE calculation of an optimized crystal structure of ErZr2N2, from the Alexandria database.

## Properties
The space-group type is Immm. The value obtained for the raw formation energy is -1.399 eV/atom.

```
data_ErZr2N2
_chemical_formula_sum 'Er1 Zr2 N2'
_space_group_name_H-M_alt 'P 1'
_space_group_IT_number 1
_cell_length_a 3.3876
_cell_length_b 4.5501
_cell_length_c 5.8824
_cell_angle_alpha 112.75
_cell_angle_beta 106.73
_cell_angle_gamma 90.00
loop_
_space_group_symop_operation_xyz
'x,y,z'
loop_
_atom_site_label
_atom_site_type_symbol
_atom_site_fract_x
_atom_site_fract_y
_atom_site_fract_z
N1 N 0.3313 0.8313 0.6627
N2 N 0.6687 0.1687 0.3373
Zr1 Zr 0.6858 0.6858 0.3717
Zr2 Zr 0.3142 0.3142 0.6283
Er1 Er 0.0000 0.0000 0.0000
```

=====

Record 2
The following is a PBE calculation of an optimized crystal structure of Er2ZrN3, from the Alexandria database.

## Properties
The space-group type is P-3m1. The value obtained for the raw formation energy is -1.782 eV/atom.

```
data_Er2ZrN3
_chemical_formula_sum 'Er4 Zr2 N6'
_space_group_name_H-M_alt 'P 1'
_space_group_IT_number 1
_cell_length_a 3.3559
_cell_length_b 8.9267
_cell_length_c 5.8065
_cell_angle_alpha 108.96
_cell_angle_beta 90.00
_cell_angle_gamma 100.83
loop_
_space_group_symop_operation_xyz
'x,y,z'
loop_
_atom_site_label
_atom_site_type_symbol
_atom_site_fract_x
_atom_site_fract_y
_atom_site_fract_z
N1 N 0.0780 0.1560 0.9112
N2 N 0.4220 0.8441 0.5888
N3 N 0.5780 0.1559 0.4112
N4 N 0.9220 0.8440 0.0888
N5 N 0.2500 0.5000 0.7500
N6 N 0.7500 0.5000 0.2500
Er1 Er 0.3343 0.6687 0.1677
Er2 Er 0.1657 0.3313 0.3323
Er3 Er 0.8343 0.6687 0.6677
Er4 Er 0.6657 0.3313 0.8323
Zr1 Zr 0.0000 0.0000 0.5000
Zr2 Zr 0.5000 0.0000 0.0000
```

=====

Record 3
The following is a PBE calculation of an optimized crystal structure of ErZr3N3, from the Alexandria database.

## Properties
The space-group type is I4_132. The value obtained for the raw formation energy is -1.494 eV/atom.

```
data_ErZr3N3
_chemical_formula_sum 'Er4 Zr12 N12'
_space_group_name_H-M_alt 'P 1'
_space_group_IT_number 1
_cell_length_a 8.1121
_cell_length_b 8.1121
_cell_length_c 8.1121
_cell_angle_alpha 109.47
_cell_angle_beta 109.47
_cell_angle_gamma 109.47
loop_
_space_group_symop_operation_xyz
'x,y,z'
loop_
_atom_site_label
_atom_site_type_symbol
_atom_site_fract_x
_atom_site_fract_y
_atom_site_fract_z
Zr1 Zr 0.9922 0.2500 0.0078
Zr2 Zr 0.5078 0.0156 0.7578
Zr3 Zr 0.5078 0.4922 0.2500
Zr4 Zr 0.7500 0.0078 0.4922
Zr5 Zr 0.2578 0.2500 0.7422
Zr6 Zr 0.2422 0.4844 0.4922
Zr7 Zr 0.2422 0.7578 0.2500
Zr8 Zr 0.9844 0.4922 0.7422
Zr9 Zr 0.9922 0.7422 0.4844
Zr10 Zr 0.2578 0.0078 0.0156
Zr11 Zr 0.5156 0.7578 0.0078
Zr12 Zr 0.7500 0.7422 0.7578
N1 N 0.0108 0.5054 0.2554
N2 N 0.7446 0.9946 0.9892
N3 N 0.4946 0.5054 0.7500
N4 N 0.2500 0.2554 0.2446
N5 N 0.0054 0.2554 0.5108
N6 N 0.2500 0.9946 0.5054
N7 N 0.0054 0.7500 0.9946
N8 N 0.4892 0.2446 0.9946
N9 N 0.7554 0.5108 0.5054
N10 N 0.7446 0.7500 0.2554
N11 N 0.7554 0.2446 0.7500
N12 N 0.4946 0.9892 0.2446
Er1 Er 0.7500 0.5000 0.0000
Er2 Er 0.7500 0.2500 0.2500
Er3 Er 0.5000 0.2500 0.5000
Er4 Er 0.0000 0.0000 0.2500
```

=====

Record 4
The following is a PBE calculation of an optimized crystal structure of Er3ZrN3, from the Alexandria database.

## Properties
The space-group type is R-3. The value obtained for the raw formation energy is -1.206 eV/atom.

```
data_Er3ZrN3
_chemical_formula_sum 'Er6 Zr2 N6'
_space_group_name_H-M_alt 'P 1'
_space_group_IT_number 1
_cell_length_a 5.9301
_cell_length_b 5.9301
_cell_length_c 9.0136
_cell_angle_alpha 70.79
_cell_angle_beta 70.79
_cell_angle_gamma 60.00
loop_
_space_group_symop_operation_xyz
'x,y,z'
loop_
_atom_site_label
_atom_site_type_symbol
_atom_site_fract_x
_atom_site_fract_y
_atom_site_fract_z
Er1 Er 0.5830 0.2153 0.3042
Er2 Er 0.2153 0.8975 0.3042
Er3 Er 0.4170 0.7847 0.6958
Er4 Er 0.1025 0.4170 0.6958
Er5 Er 0.7847 0.1025 0.6958
Er6 Er 0.8975 0.5830 0.3042
N1 N 0.5815 0.9457 0.1654
N2 N 0.4185 0.0543 0.8346
N3 N 0.3074 0.5815 0.1654
N4 N 0.9457 0.3074 0.1654
N5 N 0.0543 0.6926 0.8346
N6 N 0.6926 0.4185 0.8346
Zr1 Zr 0.3331 0.3331 0.0008
Zr2 Zr 0.6669 0.6669 0.9992
```

=====

Record 5
The following is a PBE calculation of an optimized crystal structure of Er4ZrN5, from the Alexandria database.

## Properties
The space-group type is I4/m. The value obtained for the raw formation energy is -1.789 eV/atom.

```
data_Er4ZrN5
_chemical_formula_sum 'Er4 Zr1 N5'
_space_group_name_H-M_alt 'P 1'
_space_group_IT_number 1
_cell_length_a 4.7915
_cell_length_b 5.8612
_cell_length_c 5.8612
_cell_angle_alpha 80.38
_cell_angle_beta 65.87
_cell_angle_gamma 65.87
loop_
_space_group_symop_operation_xyz
'x,y,z'
loop_
_atom_site_label
_atom_site_type_symbol
_atom_site_fract_x
_atom_site_fract_y
_atom_site_fract_z
N1 N 0.2915 0.8063 0.6128
N2 N 0.9043 0.3872 0.8063
N3 N 0.5007 0.0000 0.0000
N4 N 0.7106 0.1937 0.3872
N5 N 0.0978 0.6128 0.1937
Er1 Er 0.8006 0.8006 0.6003
Er2 Er 0.6012 0.6003 0.1994
Er3 Er 0.2015 0.1994 0.3997
Er4 Er 0.4008 0.3997 0.8006
Zr1 Zr 0.0013 0.0000 0.0000
```

=====

Record 6
The following is a PBE calculation of an optimized crystal structure of ErZrN2, from the Alexandria database.

## Properties
The space-group type is P6_3/mmc. The value obtained for the raw formation energy is -1.716 eV/atom.

```
data_ErZrN2
_chemical_formula_sum 'Er2 Zr2 N4'
_space_group_name_H-M_alt 'P 1'
_space_group_IT_number 1
_cell_length_a 3.3001
_cell_length_b 3.3001
_cell_length_c 11.1067
_cell_angle_alpha 90.00
_cell_angle_beta 90.00
_cell_angle_gamma 120.00
loop_
_space_group_symop_operation_xyz
'x,y,z'
loop_
_atom_site_label
_atom_site_type_symbol
_atom_site_fract_x
_atom_site_fract_y
_atom_site_fract_z
Er1 Er 0.6667 0.3333 0.2500
Er2 Er 0.3333 0.6667 0.7500
N1 N 0.3333 0.6667 0.1156
N2 N 0.6667 0.3333 0.6156
N3 N 0.3333 0.6667 0.3844
N4 N 0.6667 0.3333 0.8844
Zr1 Zr 0.0000 0.0000 0.0000
Zr2 Zr 0.0000 0.0000 0.5000
```

=====

Record 7
The following is a PBE calculation of an optimized crystal structure of Er3ZrN4, from the Alexandria database.

## Properties
The offset from the most stable computed form is 0 meV/atom. The space-group type is Cmmm. The value obtained for the raw formation energy is -1.791 eV/atom.

```
data_Er3ZrN4
_chemical_formula_sum 'Er3 Zr1 N4'
_space_group_name_H-M_alt 'P 1'
_space_group_IT_number 1
_cell_length_a 3.3715
_cell_length_b 5.8452
_cell_length_c 5.8452
_cell_angle_alpha 109.30
_cell_angle_beta 90.00
_cell_angle_gamma 90.00
loop_
_space_group_symop_operation_xyz
'x,y,z'
loop_
_atom_site_label
_atom_site_type_symbol
_atom_site_fract_x
_atom_site_fract_y
_atom_site_fract_z
Er1 Er 0.0000 0.0000 0.5000
Er2 Er 0.0000 0.5000 0.0000
Er3 Er 0.5000 0.5000 0.5000
N1 N 0.0000 0.2401 0.2401
N2 N 0.5000 0.2438 0.7562
N3 N 0.0000 0.7599 0.7599
N4 N 0.5000 0.7562 0.2438
Zr1 Zr 0.5000 0.0000 0.0000
```

=====

Record 8
The following is a PBE calculation of an optimized crystal structure of ErZrN2, from the Alexandria database.

## Properties
The space-group type is R3m. The value obtained for the raw formation energy is -1.515 eV/atom.

```
data_ErZrN2
_chemical_formula_sum 'Er1 Zr1 N2'
_space_group_name_H-M_alt 'P 1'
_space_group_IT_number 1
_cell_length_a 3.2788
_cell_length_b 3.2788
_cell_length_c 6.0447
_cell_angle_alpha 74.26
_cell_angle_beta 74.26
_cell_angle_gamma 60.00
loop_
_space_group_symop_operation_xyz
'x,y,z'
loop_
_atom_site_label
_atom_site_type_symbol
_atom_site_fract_x
_atom_site_fract_y
_atom_site_fract_z
N1 N 0.0840 0.0840 0.7480
N2 N 0.2465 0.2465 0.2605
Er1 Er 0.6718 0.6718 0.9846
Zr1 Zr 0.4977 0.4977 0.5069
```

=====

Record 9
The following is a PBE calculation of an optimized crystal structure of ErZr3N, from the Alexandria database.

## Properties
The space-group type is Pm-3m. The value obtained for the raw formation energy is -0.606 eV/atom.

```
data_ErZr3N
_chemical_formula_sum 'Er1 Zr3 N1'
_space_group_name_H-M_alt 'P 1'
_space_group_IT_number 1
_cell_length_a 4.6387
_cell_length_b 4.6387
_cell_length_c 4.6387
_cell_angle_alpha 90.00
_cell_angle_beta 90.00
_cell_angle_gamma 90.00
loop_
_space_group_symop_operation_xyz
'x,y,z'
loop_
_atom_site_label
_atom_site_type_symbol
_atom_site_fract_x
_atom_site_fract_y
_atom_site_fract_z
Zr1 Zr 0.5000 0.0000 0.0000
Zr2 Zr 0.0000 0.5000 0.0000
Zr3 Zr 0.0000 0.0000 0.5000
Er1 Er 0.5000 0.5000 0.5000
N1 N 0.0000 0.0000 0.0000
```

=====

Record 10
The following is a PBE calculation of an optimized crystal structure of NaEr3, from the Alexandria database.

## Properties
The space-group type is Fm-3m. The calculation puts the energy relative to the elements at 0.317 eV/atom.

```
data_NaEr3
_chemical_formula_sum 'Na1 Er3'
_space_group_name_H-M_alt 'P 1'
_space_group_IT_number 1
_cell_length_a 5.5765
_cell_length_b 5.5765
_cell_length_c 5.5765
_cell_angle_alpha 60.00
_cell_angle_beta 60.00
_cell_angle_gamma 60.00
loop_
_space_group_symop_operation_xyz
'x,y,z'
loop_
_atom_site_label
_atom_site_type_symbol
_atom_site_fract_x
_atom_site_fract_y
_atom_site_fract_z
Er1 Er 0.5000 0.5000 0.5000
Er2 Er 0.2500 0.2500 0.2500
Er3 Er 0.7500 0.7500 0.7500
Na1 Na 0.0000 0.0000 0.0000
```

=====

Record 11
The following is a PBE calculation of an optimized crystal structure of Na4Er, from the Alexandria database.

## Properties
The space-group type is Pm-3m. The calculation puts the energy relative to the elements at 0.810 eV/atom.

```
data_Na4Er
_chemical_formula_sum 'Na4 Er1'
_space_group_name_H-M_alt 'P 1'
_space_group_IT_number 1
_cell_length_a 6.5681
_cell_length_b 6.5681
_cell_length_c 6.5681
_cell_angle_alpha 90.00
_cell_angle_beta 90.00
_cell_angle_gamma 90.00
loop_
_space_group_symop_operation_xyz
'x,y,z'
loop_
_atom_site_label
_atom_site_type_symbol
_atom_site_fract_x
_atom_site_fract_y
_atom_site_fract_z
Na1 Na 0.5000 0.0000 0.5000
Na2 Na 0.0000 0.5000 0.5000
Na3 Na 0.5000 0.5000 0.0000
Na4 Na 0.0000 0.0000 0.0000
Er1 Er 0.5000 0.5000 0.5000
```

=====

Record 12
The following is a PBE calculation of an optimized crystal structure of Na6Er, from the Alexandria database.

## Properties
The space-group type is Im-3m. The calculation puts the energy relative to the elements at 0.581 eV/atom.

```
data_Na6Er
_chemical_formula_sum 'Na6 Er1'
_space_group_name_H-M_alt 'P 1'
_space_group_IT_number 1
_cell_length_a 7.1595
_cell_length_b 7.1595
_cell_length_c 7.1595
_cell_angle_alpha 109.47
_cell_angle_beta 109.47
_cell_angle_gamma 109.47
loop_
_space_group_symop_operation_xyz
'x,y,z'
loop_
_atom_site_label
_atom_site_type_symbol
_atom_site_fract_x
_atom_site_fract_y
_atom_site_fract_z
Na1 Na 0.7500 0.5000 0.2500
Na2 Na 0.7500 0.2500 0.5000
Na3 Na 0.2500 0.5000 0.7500
Na4 Na 0.5000 0.2500 0.7500
Na5 Na 0.5000 0.7500 0.2500
Na6 Na 0.2500 0.7500 0.5000
Er1 Er 0.0000 0.0000 0.0000
```